Density functional theory data (GGA-PBE) for a relaxed Re25W4 crystal.

Unit cell a=9.606 b=9.606 c=9.606 alpha=90.00 beta=90.00 gamma=90.00
Space group I-43m (No. 217)
Asymmetric unit:
Re 0.000 0.000 0.000 (multiplicity 2)
Re 0.042 0.358 0.642 (multiplicity 24)
Re 0.091 0.091 0.716 (multiplicity 24)
W 0.178 0.178 0.178 (multiplicity 8)

**DFT total energy**: -724.75 eV/cell
**Calculated formation energy**: 0.001 eV per atom



Density functional theory data (GGA-PBE) for a relaxed Re4W9 crystal.

Unit cell a=5.1579 b=5.1579 c=27.6038 alpha=90.00 beta=90.00 gamma=120.00
Space group R-3m (No. 166, hexagonal axes)
Asymmetric unit:
Re 0.0000 0.0000 0.1517 (multiplicity 6)
Re 0.0000 0.0000 0.3324 (multiplicity 6)
W 0.0000 0.0000 0.0459 (multiplicity 6)
W 0.0000 0.0000 0.5000 (multiplicity 3)
W 0.0028 0.5014 0.9119 (multiplicity 18)

**DFT total energy**: -481.75 eV/cell
**Polymorph energy (0 for the lowest one)**: 10.0 kJ/mol of atoms
**Calculated formation energy**: 0.442 eV per atom



Density functional theory data (GGA-PBE) for a relaxed Re8W5 crystal.

Unit cell a=5.1007 b=5.1007 c=27.4069 alpha=90.00 beta=90.00 gamma=120.00
Space group R-3m (No. 166, hexagonal axes)
Asymmetric unit:
Re 0.0000 0.0000 0.1516 (multiplicity 6)
Re 0.0047 0.5024 0.9112 (multiplicity 18)
W 0.0000 0.0000 0.0470 (multiplicity 6)
W 0.0000 0.0000 0.3327 (multiplicity 6)
W 0.0000 0.0000 0.5000 (multiplicity 3)

**DFT total energy**: -484.34 eV/cell
**Polymorph energy (0 for the lowest one)**: 6.4 kJ/mol of atoms
**Calculated formation energy**: 0.210 eV per atom



Density functional theory data (GGA-PBE) for a relaxed Re2W crystal.

Unit cell a=5.1212 b=5.1212 c=8.3637 alpha=90.00 beta=90.00 gamma=120.00
Space group P6_3/mmc (No. 194)
Asymmetric unit:
Re 0.0000 0.0000 0.0000 (multiplicity 2)
Re 0.1723 0.3445 0.2500 (multiplicity 6)
W 0.3333 0.6667 0.5678 (multiplicity 4)

**DFT total energy**: -149.09 eV/cell
**Polymorph energy (0 for the lowest one)**: 9.6 kJ/mol of atoms
**Calculated formation energy**: 0.178 eV per atom



Density functional theory data (GGA-PBE) for a relaxed Re9W4 crystal.

Unit cell a=5.0773 b=5.0773 c=27.4016 alpha=90.00 beta=90.00 gamma=120.00
Space group R-3m (No. 166, hexagonal axes)
Asymmetric unit:
Re 0.0000 0.0000 0.0000 (multiplicity 3)
Re 0.0000 0.0000 0.1653 (multiplicity 6)
Re 0.0049 0.5024 0.4118 (multiplicity 18)
W 0.0000 0.0000 0.3497 (multiplicity 6)
W 0.0000 0.0000 0.4536 (multiplicity 6)

**DFT total energy**: -483.82 eV/cell
**Polymorph energy (0 for the lowest one)**: 6.0 kJ/mol of atoms
**Calculated formation energy**: 0.183 eV per atom



Density functional theory data (GGA-PBE) for a relaxed Re2W11 crystal.

Unit cell a=5.1612 b=5.1612 c=27.9433 alpha=90.00 beta=90.00 gamma=120.00
Space group R-3m (No. 166, hexagonal axes)
Asymmetric unit:
Re 0.0000 0.0000 0.1531 (multiplicity 6)
W 0.0000 0.0000 0.0452 (multiplicity 6)
W 0.0000 0.0000 0.3323 (multiplicity 6)
W 0.0000 0.0000 0.5000 (multiplicity 3)
W 0.0023 0.5011 0.9110 (multiplicity 18)

**DFT total energy**: -486.44 eV/cell
**Polymorph energy (0 for the lowest one)**: 8.6 kJ/mol of atoms
**Calculated formation energy**: 0.405 eV per atom



Density functional theory data (GGA-PBE) for a relaxed Re14W crystal.

Unit cell a=9.518 b=9.518 c=5.013 alpha=90.00 beta=90.00 gamma=90.00
Space group P4_2/mnm (No. 136)
Asymmetric unit:
Re 0.035 0.363 0.000 (multiplicity 8)
Re 0.067 0.265 0.500 (multiplicity 8)
Re 0.096 0.096 0.000 (multiplicity 4)
Re 0.184 0.816 0.248 (multiplicity 8)
W 0.000 0.000 0.500 (multiplicity 2)

**DFT total energy**: -370.29 eV/cell
**Calculated formation energy**: 0.116 eV per atom



Density functional theory data (GGA-PBE) for a relaxed Re3W10 crystal.

Unit cell a=5.1501 b=5.1501 c=27.8165 alpha=90.00 beta=90.00 gamma=120.00
Space group R-3m (No. 166, hexagonal axes)
Asymmetric unit:
Re 0.0000 0.0000 0.0000 (multiplicity 3)
Re 0.0000 0.0000 0.4558 (multiplicity 6)
W 0.0000 0.0000 0.1668 (multiplicity 6)
W 0.0000 0.0000 0.3456 (multiplicity 6)
W 0.0020 0.5010 0.4121 (multiplicity 18)

**DFT total energy**: -489.64 eV/cell
**Polymorph energy (0 for the lowest one)**: 0.0 kJ/mol of atoms
**Calculated formation energy**: 0.281 eV per atom



Density functional theory data (GGA-PBE) for a relaxed Re2W crystal.

Unit cell a=9.608 b=9.608 c=5.029 alpha=90.00 beta=90.00 gamma=90.00
Space group P4_2/mnm (No. 136)
Asymmetric unit:
Re 0.035 0.364 0.000 (multiplicity 8)
Re 0.064 0.263 0.500 (multiplicity 8)
Re 0.099 0.099 0.000 (multiplicity 4)
W 0.000 0.000 0.500 (multiplicity 2)
W 0.186 0.814 0.250 (multiplicity 8)

**DFT total energy**: -375.04 eV/cell
**Polymorph energy (0 for the lowest one)**: 2.2 kJ/mol of atoms
**Calculated formation energy**: 0.100 eV per atom



Density functional theory data (GGA-PBE) for a relaxed Re3W crystal.

Unit cell a=5.1194 b=5.1194 c=16.6537 alpha=90.00 beta=90.00 gamma=120.00
Space group P6_3/mmc (No. 194)
Asymmetric unit:
Re 0.0000 0.0000 0.0910 (multiplicity 4)
Re 0.0000 0.5000 0.0000 (multiplicity 6)
Re 0.3333 0.6667 0.1247 (multiplicity 4)
Re 0.3333 0.6667 0.6527 (multiplicity 4)
W 0.1627 0.3254 0.2500 (multiplicity 6)

**DFT total energy**: -292.09 eV/cell
**Polymorph energy (0 for the lowest one)**: 24.6 kJ/mol of atoms
**Calculated formation energy**: 0.387 eV per atom



Density functional theory data (GGA-PBE) for a relaxed Re3W10 crystal.

Unit cell a=5.1736 b=5.1736 c=27.5712 alpha=90.00 beta=90.00 gamma=120.00
Space group R-3m (No. 166, hexagonal axes)
Asymmetric unit:
Re 0.0000 0.0000 0.0000 (multiplicity 3)
Re 0.0000 0.0000 0.1666 (multiplicity 6)
W 0.0000 0.0000 0.3484 (multiplicity 6)
W 0.0000 0.0000 0.4535 (multiplicity 6)
W 0.0024 0.5012 0.4122 (multiplicity 18)

**DFT total energy**: -486.72 eV/cell
**Polymorph energy (0 for the lowest one)**: 7.2 kJ/mol of atoms
**Calculated formation energy**: 0.356 eV per atom



Density functional theory data (GGA-PBE) for a relaxed Re2W3 crystal.

Unit cell a=9.666 b=9.666 c=5.104 alpha=90.00 beta=90.00 gamma=90.00
Space group P4_2/mnm (No. 136)
Asymmetric unit:
Re 0.035 0.361 0.000 (multiplicity 8)
Re 0.099 0.099 0.000 (multiplicity 4)
W 0.000 0.000 0.500 (multiplicity 2)
W 0.062 0.264 0.500 (multiplicity 8)
W 0.186 0.814 0.249 (multiplicity 8)

**DFT total energy**: -376.89 eV/cell
**Polymorph energy (0 for the lowest one)**: 9.9 kJ/mol of atoms
**Calculated formation energy**: 0.182 eV per atom